[1]
The following is a PBE calculation of a relaxed structure of NiB2OsBr, from the Alexandria database.

POSCAR file:
```
NiB2OsBr
1.0
-3.375 -0.221 1.578
-0.362 -5.219 -1.506
1.574 -1.039 3.221
B Ni Os Br
2 1 1 1
Cartesian
-1.688 -0.111 0.789
0.787 -0.519 1.610
0.000 0.000 0.000
-1.082 -3.240 1.646
-0.181 -2.610 -0.753
```

* raw total energy: -23.3 eV/cell
* calculated volume: 75.8 Å³ per cell
* raw formation energy: 843 kJ/mol of formula units

[2]
The following is a PBE calculation of a relaxed structure of Rb2NiBBr6, from the Alexandria database.

POSCAR file:
```
Rb2NiBBr6
1.0
-4.741 4.141 3.351
3.330 -1.197 6.191
2.658 6.068 3.851
Br Rb Ni B
6 2 1 1
Cartesian
-0.032 4.827 9.165
1.280 4.184 4.228
-2.490 2.652 4.143
-1.017 2.123 6.882
-0.393 0.821 2.661
1.080 0.291 5.399
-1.394 5.840 5.986
2.642 3.171 7.406
0.000 0.000 0.000
-0.705 1.472 4.771
```

* raw total energy: -30.4 eV/cell
* calculated volume: 293.4 Å³ per cell
* raw formation energy: -576 kJ/mol of formula units

[3]
The following is a PBE calculation of a relaxed structure of NiBSe2Br, from the Alexandria database.

POSCAR file:
```
NiBSe2Br
1.0
-2.411 3.930 -0.564
-1.980 -1.763 -3.814
-3.757 -1.898 2.828
Se Ni Br B
2 1 1 1
Cartesian
-1.205 1.965 -0.282
-0.990 -0.881 -1.907
0.000 0.000 0.000
-1.878 -0.949 1.414
-4.074 0.134 -0.775
```

* raw total energy: -15.7 eV/cell
* calculated volume: 109.4 Å³ per cell
* raw formation energy: 517 kJ/mol of formula units
* energy above the most stable polymorph in this dataset: 82 meV per atom

[4]
The following is a PBE calculation of a relaxed structure of NiBSeBr2, from the Alexandria database.

POSCAR file:
```
NiBSeBr2
1.0
-3.623 -2.602 -2.229
3.162 -3.788 -0.717
-1.220 -1.789 4.072
Se Br B Ni
1 2 1 1
Cartesian
-0.610 -0.895 2.036
-1.811 -1.301 -1.115
1.581 -1.894 -0.358
-0.840 -4.090 0.563
0.000 0.000 0.000
```

* raw total energy: -14.5 eV/cell
* calculated volume: 114.7 Å³ per cell
* raw formation energy: 461 kJ/mol of formula units
* energy above the most stable polymorph in this dataset: 0 meV per atom

[5]
The following is a PBE calculation of a relaxed structure of NiBSe2Br, from the Alexandria database.

POSCAR file:
```
NiBSe2Br
1.0
-0.431 -3.703 -2.418
2.746 -2.288 3.014
-3.570 -1.143 2.385
B Se Ni Br
1 2 1 1
Cartesian
0.000 0.000 0.000
-0.215 -1.851 -1.209
-1.785 -0.571 1.193
-0.628 -3.567 1.491
1.373 -1.144 1.507
```

* raw total energy: -16.2 eV/cell
* calculated volume: 92.3 Å³ per cell
* raw formation energy: 477 kJ/mol of formula units
* energy above the most stable polymorph in this dataset: 0 meV per atom

[6]
The following is a PBE calculation of a relaxed structure of NiBSeBr2, from the Alexandria database.

POSCAR file:
```
NiBSeBr2
1.0
4.588 0.000 0.000
0.000 4.588 0.000
0.000 0.000 4.655
Ni B Se Br
1 1 1 2
Cartesian
2.294 2.294 2.327
0.000 0.000 0.000
0.000 0.000 2.327
0.000 2.294 0.000
2.294 0.000 0.000
```

* raw total energy: -14.4 eV/cell
* calculated volume: 98.0 Å³ per cell
* raw formation energy: 469 kJ/mol of formula units
* energy above the most stable polymorph in this dataset: 15 meV per atom

[7]
The following is a PBE calculation of a relaxed structure of SiNiB2Br, from the Alexandria database.

POSCAR file:
```
SiNiB2Br
1.0
-0.124 4.015 -0.087
-4.080 -0.187 -2.807
-2.277 0.002 3.311
Si B Br Ni
1 2 1 1
Cartesian
-2.040 -0.094 -1.403
-1.139 0.001 1.655
-0.062 2.008 -0.044
0.000 0.000 0.000
-3.241 1.915 0.208
```

* raw total energy: -14.5 eV/cell
* calculated volume: 80.0 Å³ per cell
* raw formation energy: 1132 kJ/mol of formula units

[8]
The following is a PBE calculation of a relaxed structure of BBr2O, from the Alexandria database.

POSCAR file:
```
BBr2O
1.0
-0.477 5.577 -2.312
-6.033 -0.525 -0.021
-3.392 3.963 2.326
O Br B
2 4 2
Cartesian
-3.562 6.032 -0.576
0.000 0.000 0.000
-1.869 4.043 -0.714
-7.843 7.427 -0.296
-4.710 1.727 0.127
-5.383 4.832 0.868
-3.255 2.526 -1.167
-6.340 2.982 0.569
```

* raw total energy: -23.4 eV/cell
* calculated volume: 138.6 Å³ per cell
* raw formation energy: 315 kJ/mol of formula units
* energy above the most stable polymorph in this dataset: 113 meV per atom

[9]
The following is a PBE calculation of a relaxed structure of B2BrO, from the Alexandria database.

POSCAR file:
```
B2BrO
1.0
-1.993 0.406 3.397
-3.568 -1.666 0.414
-0.466 -3.110 2.406
B O Br
2 1 1
Cartesian
-1.507 -1.092 1.554
-4.520 -3.277 4.663
0.000 0.000 0.000
-3.013 -2.185 3.109
```

* raw total energy: -12.0 eV/cell
* calculated volume: 43.9 Å³ per cell
* raw formation energy: 772 kJ/mol of formula units
* energy above the most stable polymorph in this dataset: 1087 meV per atom

[10]
The following is a PBE calculation of a relaxed structure of BBr3O, from the Alexandria database.

POSCAR file:
```
BBr3O
1.0
4.755 0.000 0.000
0.000 4.755 0.000
0.000 0.000 4.755
O B Br
1 1 3
Cartesian
0.000 0.000 0.000
2.378 2.378 2.378
0.000 2.378 0.000
0.000 0.000 2.378
2.378 0.000 0.000
```

* raw total energy: -10.3 eV/cell
* calculated volume: 107.5 Å³ per cell
* raw formation energy: 617 kJ/mol of formula units
* energy above the most stable polymorph in this dataset: 89 meV per atom

[11]
The following is a PBE calculation of a relaxed structure of B3BrO, from the Alexandria database.

POSCAR file:
```
B3BrO
1.0
4.148 0.000 0.000
0.000 4.148 0.000
0.000 0.000 4.148
B O Br
3 1 1
Cartesian
0.000 0.000 2.074
0.000 2.074 0.000
2.074 0.000 0.000
2.074 2.074 2.074
0.000 0.000 0.000
```

* raw total energy: -11.9 eV/cell
* calculated volume: 71.3 Å³ per cell
* raw formation energy: 1427 kJ/mol of formula units
* energy above the most stable polymorph in this dataset: 858 meV per atom

[12]
The following is a PBE calculation of a relaxed structure of B2BrO, from the Alexandria database.

POSCAR file:
```
B2BrO
1.0
-1.427 1.627 -3.370
-3.738 -0.807 1.193
-2.861 5.538 1.505
O B Br
2 4 2
Cartesian
-4.590 2.571 0.805
-2.582 0.410 -1.089
-5.733 5.073 -1.073
-5.014 4.260 0.610
-3.585 1.489 -0.139
-1.719 1.895 -0.741
-3.435 3.788 -1.477
0.000 0.000 0.000
```

* raw total energy: -32.7 eV/cell
* calculated volume: 92.3 Å³ per cell
* raw formation energy: 352 kJ/mol of formula units
* energy above the most stable polymorph in this dataset: 0 meV per atom